Computed, not measured: a relaxed ErNiSn6 crystal at the PBE level of DFT.

Structure (POSCAR):
```
ErNiSn6
1.0
-0.867 3.047 -4.952
-0.044 -5.656 -1.603
-5.983 0.381 2.461
Er Ni Sn
1 1 6
Cartesian
0.000 0.000 0.000 Er
-3.447 -1.114 -2.047 Ni
-3.984 -0.283 0.244 Sn
-1.762 0.772 -2.734 Sn
-2.911 -1.945 -4.337 Sn
-5.458 0.442 -2.683 Sn
-5.132 -2.999 -1.359 Sn
-1.437 -2.669 -1.410 Sn
```

The space group is No. 12. Its crystal system is monoclinic. The calculated formation energy comes out at -130 meV per atom.